KEuZrSnO6 | PBE | optimized geometry

Calculated values
* electronic total energy: -7.71 eV per atom
* E_form (uncorrected): -2.34 eV per atom
* D(E_F): 47.933 states/eV/cell

Lattice parameters (Å, degrees): 8.2954 8.2954 8.2954 90.00 90.00 90.00
Space group F-43m (No. 216)
Asymmetric unit:
K: 0.0000 0.0000 0.0000 [4 per cell]
Eu: 0.0000 0.0000 0.5000 [4 per cell]
Zr: 0.2500 0.2500 0.2500 [4 per cell]
Sn: 0.2500 0.2500 0.7500 [4 per cell]
O: 0.0018 0.2500 0.7500 [24 per cell]